{"formula": "SrH2", "functional": "PBEsol", "state": "relaxed", "lattice_angstrom": [[3.7902, 0.0000, 0.0000], [0.0000, 6.1925, 0.0000], [0.0000, 0.0000, 7.1613]], "species": ["H", "H", "H", "Sr", "H", "H", "Sr", "Sr", "H", "H", "Sr", "H"], "frac_coords": [[0.2500, 0.9734, 0.6832], [0.7500, 0.5266, 0.1832], [0.2500, 0.8530, 0.0718], [0.2500, 0.7400, 0.3888], [0.7500, 0.0266, 0.3168], [0.2500, 0.4734, 0.8168], [0.2500, 0.2400, 0.1112], [0.7500, 0.7600, 0.8888], [0.2500, 0.3530, 0.4282], [0.7500, 0.6470, 0.5718], [0.7500, 0.2600, 0.6112], [0.7500, 0.1470, 0.9282]], "dft_energy_ev_per_atom": -3.378, "space_group": "Pnma (62)", "crystal_system": "orthorhombic"}